1.
A plane-wave DFT calculation with PBE was carried out for an optimized crystal structure of Al5Ag.

Computed properties:
Offset from the most stable computed form (meV/atom): 30
SG: Cmmm (65)
DFT formation energy (kJ/mol of formula units): 12
V (Å³/cell): 100.8

a b c (Å): 4.1281 6.2964 4.1010
angles (deg): 109.01 90.00 90.00
Closest atoms and distances in Å follow each position.
Sites, in units of the cell vectors:
Ag 0.0000 0.0000 0.0000  12 Al 2.86-2.91
Al 0.5000 0.3385 0.1692  10 Al 2.81-2.91, 2 Ag 2.88
Al 0.0000 0.6645 0.3322  10 Al 2.83-2.91, 2 Ag 2.86
Al 0.5000 0.0000 0.5000  8 Al 2.87, 4 Ag 2.91
Al 0.0000 0.3355 0.6678  10 Al 2.83-2.91, 2 Ag 2.86
Al 0.5000 0.6615 0.8308  10 Al 2.81-2.91, 2 Ag 2.88

2.
A plane-wave DFT calculation with PBE was carried out for an optimized crystal structure of Al7Ag5.

Computed properties:
Offset from the most stable computed form (meV/atom): 79
SG: C2/m (12)
DFT formation energy (kJ/mol of formula units): 58
V (Å³/cell): 218.6

a b c (Å): 3.0400 6.9426 10.9173
angles (deg): 103.23 90.00 102.65
Closest atoms and distances in Å follow each position.
Sites, in units of the cell vectors:
Al 0.2147 0.4293 0.5956  5 Ag 2.62-2.82, 3 Al 2.89-2.92
Al 0.7853 0.5707 0.4044  5 Ag 2.62-2.82, 3 Al 2.89-2.92
Al 0.9195 0.8390 0.2336  3 Ag 2.58-2.79, 2 Al 2.86
Al 0.0805 0.1610 0.7664  3 Ag 2.58-2.79, 2 Al 2.86
Al 0.6575 0.3151 0.9904  5 Ag 2.64-2.72, 4 Al 2.86-2.90
Al 0.5000 0.0000 0.5000  4 Ag 2.75, 2 Al 3.04
Al 0.3425 0.6849 0.0096  5 Ag 2.64-2.72, 4 Al 2.86-2.90
Ag 0.1053 0.2105 0.3633  6 Al 2.58-2.82
Ag 0.8947 0.7895 0.6367  6 Al 2.58-2.82
Ag 0.2419 0.4838 0.1944  7 Al 2.69-2.79, 1 Ag 2.90
Ag 0.7581 0.5162 0.8056  7 Al 2.69-2.79, 1 Ag 2.90
Ag 0.0000 0.0000 0.0000  4 Al 2.64

3.
A plane-wave DFT calculation with PBE was carried out for an optimized crystal structure of Al7Ag5.

Computed properties:
Offset from the most stable computed form (meV/atom): 24
SG: P-1 (2)
DFT formation energy (kJ/mol of formula units): -5
V (Å³/cell): 205.9

a b c (Å): 5.5276 7.7594 5.5732
angles (deg): 72.57 64.54 83.59
Closest atoms and distances in Å follow each position.
Sites, in units of the cell vectors:
Ag 0.9928 0.9962 0.9992  6 Al 2.73-3.01, 5 Ag 2.89-3.03
Ag 0.1667 0.3333 0.0000  10 Al 2.76-3.04, 2 Ag 2.89
Ag 0.3405 0.6705 0.0008  6 Al 2.73-3.01, 5 Ag 2.89-3.03
Ag 0.4995 0.0013 0.5031  8 Al 2.76-3.05, 4 Ag 2.96-3.03
Ag 0.8338 0.6654 0.4969  8 Al 2.76-3.05, 4 Ag 2.96-3.03
Al 0.4957 0.0019 0.0030  6 Ag 2.73-2.98, 6 Al 2.83-3.06
Al 0.6667 0.3333 0.0000  6 Ag 2.76-3.05, 6 Al 2.79-2.96
Al 0.8377 0.6648 0.9970  6 Ag 2.73-2.98, 6 Al 2.83-3.06
Al 0.6667 0.3333 0.5000  8 Al 2.76-3.05, 4 Ag 2.83-2.96
Al 0.0000 0.0011 0.4991  6 Ag 2.76-3.04, 6 Al 2.83-3.06
Al 0.1667 0.3333 0.5000  6 Al 2.76-2.96, 6 Ag 2.79-3.07
Al 0.3333 0.6655 0.5009  6 Ag 2.76-3.04, 6 Al 2.83-3.06

4.
A plane-wave DFT calculation with PBE was carried out for an optimized crystal structure of AlAg.

Computed properties:
SG: P4_2/mnm (136)
DFT formation energy (kJ/mol of formula units): 36
V (Å³/cell): 155.6

a b c (Å): 5.1653 5.1653 5.8313
angles (deg): 90.00 90.00 90.00
Closest atoms and distances in Å follow each position.
Sites, in units of the cell vectors:
Al 0.3123 0.6877 0.0000  6 Ag 2.64-2.92, 1 Al 2.74
Al 0.8123 0.8123 0.5000  6 Ag 2.64-2.92, 1 Al 2.74
Al 0.1877 0.1877 0.5000  6 Ag 2.64-2.92, 1 Al 2.74
Al 0.6877 0.3123 0.0000  6 Ag 2.64-2.92, 1 Al 2.74
Ag 0.1913 0.1913 0.0000  6 Al 2.64-2.92, 1 Ag 2.80
Ag 0.6913 0.3087 0.5000  6 Al 2.64-2.92, 1 Ag 2.80
Ag 0.3087 0.6913 0.5000  6 Al 2.64-2.92, 1 Ag 2.80
Ag 0.8087 0.8087 0.0000  6 Al 2.64-2.92, 1 Ag 2.80

5.
A plane-wave DFT calculation with PBE was carried out for an optimized crystal structure of Al3Ag5.

Computed properties:
Offset from the most stable computed form (meV/atom): 13
SG: I4/mmm (139)
DFT formation energy (kJ/mol of formula units): -28
V (Å³/cell): 135.7

a b c (Å): 5.8830 5.7166 5.7166
angles (deg): 61.93 120.97 120.97
Closest atoms and distances in Å follow each position.
Sites, in units of the cell vectors:
Ag 0.0000 0.0000 0.0000  8 Ag 2.86, 4 Al 2.94
Ag 0.0000 0.0000 0.5000  6 Ag 2.86-2.94, 6 Al 2.86
Ag 0.5000 0.0000 0.5000  6 Al 2.86, 6 Ag 2.86-2.94
Ag 0.0000 0.5000 0.0000  6 Al 2.86, 6 Ag 2.86-2.94
Ag 0.5000 0.5000 0.0000  6 Al 2.86, 6 Ag 2.86-2.94
Al 0.5000 0.0000 0.0000  10 Ag 2.86-2.94, 2 Al 2.94
Al 0.0000 0.5000 0.5000  10 Ag 2.86-2.94, 2 Al 2.94
Al 0.5000 0.5000 0.5000  8 Ag 2.86, 4 Al 2.94

6.
A plane-wave DFT calculation with PBE was carried out for an optimized crystal structure of Al3Ag5.

Computed properties:
Offset from the most stable computed form (meV/atom): 14
SG: P-4m2 (115)
DFT formation energy (kJ/mol of formula units): -28
V (Å³/cell): 135.5

a b c (Å): 4.0432 8.2873 4.0432
angles (deg): 90.00 90.00 90.00
Closest atoms and distances in Å follow each position.
Sites, in units of the cell vectors:
Ag 0.0000 0.0000 0.0000  4 Al 2.86, 8 Ag 2.86-2.95
Ag 0.5000 0.2594 0.0000  6 Al 2.84-2.86, 6 Ag 2.84-2.95
Ag 0.0000 0.5000 0.0000  4 Ag 2.84, 8 Al 2.86-2.93
Ag 0.5000 0.0000 0.5000  4 Al 2.86, 8 Ag 2.86-2.95
Ag 0.0000 0.7406 0.5000  6 Al 2.84-2.86, 6 Ag 2.84-2.95
Al 0.5000 0.7567 0.0000  10 Ag 2.86-2.93, 2 Al 2.93
Al 0.0000 0.2433 0.5000  10 Ag 2.86-2.93, 2 Al 2.93
Al 0.5000 0.5000 0.5000  8 Ag 2.84-2.86, 4 Al 2.93

7.
A plane-wave DFT calculation with PBE was carried out for an optimized crystal structure of Al3Ag.

Computed properties:
SG: P2/m (10)
DFT formation energy (kJ/mol of formula units): -3
V (Å³/cell): 134.6

a b c (Å): 2.8679 9.7409 4.9012
angles (deg): 100.63 90.00 90.00
Closest atoms and distances in Å follow each position.
Sites, in units of the cell vectors:
Ag 0.0000 0.9938 0.0036  9 Al 2.83-2.93, 3 Ag 2.87-3.05
Ag 0.0000 0.2562 0.7464  9 Al 2.83-2.93, 3 Ag 2.87-3.05
Al 0.5000 0.2498 0.2454  6 Ag 2.83-2.93, 6 Al 2.87-2.94
Al 0.0000 0.5014 0.4961  11 Al 2.81-2.91, 1 Ag 2.88
Al 0.5000 0.7466 0.7470  10 Al 2.81-2.93, 2 Ag 2.88
Al 0.5000 0.0002 0.5046  6 Ag 2.83-2.93, 6 Al 2.87-2.94
Al 0.5000 0.5034 0.0030  10 Al 2.81-2.93, 2 Ag 2.88
Al 0.0000 0.7486 0.2539  11 Al 2.81-2.91, 1 Ag 2.88

8.
A plane-wave DFT calculation with PBE was carried out for an optimized crystal structure of Al5Ag2.

Computed properties:
Offset from the most stable computed form (meV/atom): 9
SG: P-1 (2)
DFT formation energy (kJ/mol of formula units): -12
V (Å³/cell): 117.6

a b c (Å): 2.9843 4.8897 8.5077
angles (deg): 95.96 90.19 107.59
Closest atoms and distances in Å follow each position.
Sites, in units of the cell vectors:
Ag 0.0040 0.0030 0.0101  7 Al 2.77-2.92, 5 Ag 2.89-2.98
Ag 0.7103 0.4256 0.8470  7 Al 2.77-2.92, 5 Ag 2.89-2.98
Al 0.5753 0.1499 0.2871  10 Al 2.77-2.98, 2 Ag 2.80-2.82
Al 0.1390 0.2786 0.5700  10 Al 2.77-2.98, 2 Ag 2.80-2.82
Al 0.2871 0.5743 0.1398  5 Ag 2.77-2.92, 7 Al 2.83-2.98
Al 0.8571 0.7143 0.4286  12 Al 2.77-2.98
Al 0.4272 0.8542 0.7173  5 Ag 2.77-2.92, 7 Al 2.83-2.98

Copy entry 5 word for word.
A plane-wave DFT calculation with PBE was carried out for an optimized crystal structure of Al3Ag5.

Computed properties:
Offset from the most stable computed form (meV/atom): 13
SG: I4/mmm (139)
DFT formation energy (kJ/mol of formula units): -28
V (Å³/cell): 135.7

a b c (Å): 5.8830 5.7166 5.7166
angles (deg): 61.93 120.97 120.97
Closest atoms and distances in Å follow each position.
Sites, in units of the cell vectors:
Ag 0.0000 0.0000 0.0000  8 Ag 2.86, 4 Al 2.94
Ag 0.0000 0.0000 0.5000  6 Ag 2.86-2.94, 6 Al 2.86
Ag 0.5000 0.0000 0.5000  6 Al 2.86, 6 Ag 2.86-2.94
Ag 0.0000 0.5000 0.0000  6 Al 2.86, 6 Ag 2.86-2.94
Ag 0.5000 0.5000 0.0000  6 Al 2.86, 6 Ag 2.86-2.94
Al 0.5000 0.0000 0.0000  10 Ag 2.86-2.94, 2 Al 2.94
Al 0.0000 0.5000 0.5000  10 Ag 2.86-2.94, 2 Al 2.94
Al 0.5000 0.5000 0.5000  8 Ag 2.86, 4 Al 2.94

Repeat the eighth record exactly.
A plane-wave DFT calculation with PBE was carried out for an optimized crystal structure of Al5Ag2.

Computed properties:
Offset from the most stable computed form (meV/atom): 9
SG: P-1 (2)
DFT formation energy (kJ/mol of formula units): -12
V (Å³/cell): 117.6

a b c (Å): 2.9843 4.8897 8.5077
angles (deg): 95.96 90.19 107.59
Closest atoms and distances in Å follow each position.
Sites, in units of the cell vectors:
Ag 0.0040 0.0030 0.0101  7 Al 2.77-2.92, 5 Ag 2.89-2.98
Ag 0.7103 0.4256 0.8470  7 Al 2.77-2.92, 5 Ag 2.89-2.98
Al 0.5753 0.1499 0.2871  10 Al 2.77-2.98, 2 Ag 2.80-2.82
Al 0.1390 0.2786 0.5700  10 Al 2.77-2.98, 2 Ag 2.80-2.82
Al 0.2871 0.5743 0.1398  5 Ag 2.77-2.92, 7 Al 2.83-2.98
Al 0.8571 0.7143 0.4286  12 Al 2.77-2.98
Al 0.4272 0.8542 0.7173  5 Ag 2.77-2.92, 7 Al 2.83-2.98

Look up the V of the first one.
100.8 Å³/cell